Entry 1:
# Fe2ReSi | the Alexandria database | PBE-GGA | relaxed
data_Fe2ReSi
_chemical_formula_sum 'Fe6 Re3 Si3'
_symmetry_space_group_name_H-M 'R -3 m'
_symmetry_Int_Tables_number 166
_symmetry_space_group_name_Hall '-R 3 2"'
_cell_length_a 2.6598
_cell_length_b 2.6598
_cell_length_c 23.8239
_cell_angle_alpha 90.00
_cell_angle_beta 90.00
_cell_angle_gamma 120.00
loop_
_atom_site_label
_atom_site_fract_x
_atom_site_fract_y
_atom_site_fract_z
_atom_site_occupancy
Fe1 0.0000 0.0000 0.2451 1
Re1 0.0000 0.0000 0.0000 1
Si1 0.0000 0.0000 0.5000 1
# * formation energy (no corrections): -0.030 eV per atom
# * DFT total energy: -8.729 eV per atom
# * crystal system: trigonal

Entry 2:
# Fe4ReSi | the Alexandria database | PBE-GGA | relaxed
data_Fe4ReSi
_chemical_formula_sum 'Fe16 Re4 Si4'
_symmetry_space_group_name_H-M 'F -4 3 m'
_symmetry_Int_Tables_number 216
_symmetry_space_group_name_Hall 'F -4 2 3'
_cell_length_a 6.568
_cell_length_b 6.568
_cell_length_c 6.568
_cell_angle_alpha 90.00
_cell_angle_beta 90.00
_cell_angle_gamma 90.00
loop_
_atom_site_label
_atom_site_fract_x
_atom_site_fract_y
_atom_site_fract_z
_atom_site_occupancy
Fe1 0.124 0.124 0.376 1
Re1 0.000 0.000 0.000 1
Si1 0.250 0.250 0.750 1
# * formation energy (no corrections): 0.141 eV per atom
# * DFT total energy: -8.479 eV per atom
# * crystal system: cubic

Entry 3:
# FeRe3Si | the Alexandria database | PBE-GGA | relaxed
data_FeRe3Si
_chemical_formula_sum 'Fe1 Re3 Si1'
_symmetry_space_group_name_H-M 'P m -3 m'
_symmetry_Int_Tables_number 221
_symmetry_space_group_name_Hall '-P 4 2 3'
_cell_length_a 4.348
_cell_length_b 4.348
_cell_length_c 4.348
_cell_angle_alpha 90.00
_cell_angle_beta 90.00
_cell_angle_gamma 90.00
loop_
_atom_site_label
_atom_site_fract_x
_atom_site_fract_y
_atom_site_fract_z
_atom_site_occupancy
Fe1 0.000 0.000 0.000 1
Re1 0.000 0.500 0.500 1
Si1 0.500 0.500 0.500 1
# * formation energy (no corrections): 1.564 eV per atom
# * DFT total energy: -8.682 eV per atom
# * crystal system: cubic
# * energy relative to the lowest polymorph listed for this composition: 0.00 eV/f.u.

Entry 4:
# FeRe2Si4 | the Alexandria database | PBE-GGA | relaxed
data_FeRe2Si4
_chemical_formula_sum 'Fe2 Re4 Si8'
_symmetry_space_group_name_H-M 'I 4/m m m'
_symmetry_Int_Tables_number 139
_symmetry_space_group_name_Hall '-I 4 2'
_cell_length_a 4.208
_cell_length_b 4.208
_cell_length_c 12.287
_cell_angle_alpha 90.00
_cell_angle_beta 90.00
_cell_angle_gamma 90.00
loop_
_atom_site_label
_atom_site_fract_x
_atom_site_fract_y
_atom_site_fract_z
_atom_site_occupancy
Fe1 0.000 0.000 0.000 1
Re1 0.000 0.000 0.385 1
Si1 0.000 0.000 0.190 1
Si2 0.000 0.500 0.000 1
# * formation energy (no corrections): 0.664 eV per atom
# * DFT total energy: -7.200 eV per atom
# * crystal system: tetragonal
# * energy relative to the lowest polymorph listed for this composition: 6.02 eV/f.u.

Entry 5:
# Fe2ReSi | the Alexandria database | PBE-GGA | relaxed
data_Fe2ReSi
_chemical_formula_sum 'Fe4 Re2 Si2'
_symmetry_space_group_name_H-M 'C m m 2'
_symmetry_Int_Tables_number 35
_cell_length_a 3.103
_cell_length_b 4.281
_cell_length_c 7.765
_cell_angle_alpha 90.00
_cell_angle_beta 90.00
_cell_angle_gamma 90.00
loop_
_symmetry_equiv_pos_as_xyz
'x,y,z'
'-x,-y,z'
'-x,y,z'
'x,-y,z'
'x+1/2,y+1/2,z'
'-x+1/2,-y+1/2,z'
'-x+1/2,y+1/2,z'
'x+1/2,-y+1/2,z'
loop_
_atom_site_label
_atom_site_fract_x
_atom_site_fract_y
_atom_site_fract_z
_atom_site_occupancy
Fe1 0.000 0.000 0.000 1
Fe2 0.000 0.500 0.248 1
Re1 0.000 0.500 0.732 1
Si1 0.000 0.000 0.473 1
# * formation energy (no corrections): 0.067 eV per atom
# * DFT total energy: -8.632 eV per atom
# * crystal system: orthorhombic

Entry 6:
# Fe2ReSi | the Alexandria database | PBE-GGA | relaxed
data_Fe2ReSi
_chemical_formula_sum 'Fe2 Re1 Si1'
_symmetry_space_group_name_H-M 'P 1 m 1'
_symmetry_Int_Tables_number 6
_cell_length_a 2.627
_cell_length_b 4.012
_cell_length_c 4.792
_cell_angle_alpha 90.00
_cell_angle_beta 97.47
_cell_angle_gamma 90.00
loop_
_symmetry_equiv_pos_as_xyz
'x,y,z'
'x,-y,z'
loop_
_atom_site_label
_atom_site_fract_x
_atom_site_fract_y
_atom_site_fract_z
_atom_site_occupancy
Fe1 0.000 0.000 0.000 1
Fe2 0.280 0.500 0.785 1
Re1 0.699 0.500 0.285 1
Si1 0.290 0.000 0.518 1
# * formation energy (no corrections): -0.033 eV per atom
# * DFT total energy: -8.733 eV per atom
# * crystal system: monoclinic

Entry 7:
# Fe2ReSi | the Alexandria database | PBE-GGA | relaxed
data_Fe2ReSi
_chemical_formula_sum 'Fe6 Re3 Si3'
_symmetry_space_group_name_H-M 'R 3 m'
_symmetry_Int_Tables_number 160
_symmetry_space_group_name_Hall 'R 3 -2"'
_cell_length_a 2.6941
_cell_length_b 2.6941
_cell_length_c 23.8084
_cell_angle_alpha 90.00
_cell_angle_beta 90.00
_cell_angle_gamma 120.00
loop_
_atom_site_label
_atom_site_fract_x
_atom_site_fract_y
_atom_site_fract_z
_atom_site_occupancy
Fe1 0.0000 0.0000 0.0000 1
Fe2 0.0000 0.0000 0.2524 1
Re1 0.0000 0.0000 0.7536 1
Si1 0.0000 0.0000 0.5097 1
# * formation energy (no corrections): 0.055 eV per atom
# * DFT total energy: -8.644 eV per atom
# * crystal system: trigonal

Entry 8:
# Fe2ReSi2 | the Alexandria database | PBE-GGA | relaxed
data_Fe2ReSi2
_chemical_formula_sum 'Fe4 Re2 Si4'
_symmetry_space_group_name_H-M 'P 4/m b m'
_symmetry_Int_Tables_number 127
_symmetry_space_group_name_Hall '-P 4 2ab'
_cell_length_a 6.668
_cell_length_b 6.668
_cell_length_c 2.634
_cell_angle_alpha 90.00
_cell_angle_beta 90.00
_cell_angle_gamma 90.00
loop_
_atom_site_label
_atom_site_fract_x
_atom_site_fract_y
_atom_site_fract_z
_atom_site_occupancy
Fe1 0.157 0.343 0.000 1
Re1 0.000 0.000 0.500 1
Si1 0.140 0.640 0.500 1
# * formation energy (no corrections): -0.269 eV per atom
# * DFT total energy: -8.313 eV per atom
# * crystal system: tetragonal

Entry 9:
# Fe2ReSi | the Alexandria database | PBE-GGA | relaxed
data_Fe2ReSi
_chemical_formula_sum 'Fe2 Re1 Si1'
_symmetry_space_group_name_H-M 'P 1 2/m 1'
_symmetry_Int_Tables_number 10
_cell_length_a 2.678
_cell_length_b 3.495
_cell_length_c 5.093
_cell_angle_alpha 90.00
_cell_angle_beta 90.10
_cell_angle_gamma 90.00
loop_
_symmetry_equiv_pos_as_xyz
'x,y,z'
'-x,-y,-z'
'-x,y,-z'
'x,-y,z'
loop_
_atom_site_label
_atom_site_fract_x
_atom_site_fract_y
_atom_site_fract_z
_atom_site_occupancy
Fe1 0.000 0.000 0.240 1
Re1 0.500 0.500 0.500 1
Si1 0.500 0.500 0.000 1
# * formation energy (no corrections): -0.096 eV per atom
# * DFT total energy: -8.795 eV per atom
# * crystal system: monoclinic

Entry 10:
# Fe2ReSi | the Alexandria database | PBE-GGA | relaxed
data_Fe2ReSi
_chemical_formula_sum 'Fe8 Re4 Si4'
_symmetry_space_group_name_H-M 'I -4 2 d'
_symmetry_Int_Tables_number 122
_symmetry_space_group_name_Hall 'I -4 2bw'
_cell_length_a 5.215
_cell_length_b 5.215
_cell_length_c 10.198
_cell_angle_alpha 90.00
_cell_angle_beta 90.00
_cell_angle_gamma 90.00
loop_
_atom_site_label
_atom_site_fract_x
_atom_site_fract_y
_atom_site_fract_z
_atom_site_occupancy
Fe1 0.241 0.250 0.125 1
Re1 0.000 0.000 0.500 1
Si1 0.000 0.000 0.000 1
# * formation energy (no corrections): 0.993 eV per atom
# * DFT total energy: -7.706 eV per atom
# * crystal system: tetragonal

Entry 11:
# Fe2ReSi | the Alexandria database | PBE-GGA | relaxed
data_Fe2ReSi
_chemical_formula_sum 'Fe2 Re1 Si1'
_symmetry_space_group_name_H-M 'P 4/m m m'
_symmetry_Int_Tables_number 123
_symmetry_space_group_name_Hall '-P 4 2'
_cell_length_a 4.131
_cell_length_b 4.131
_cell_length_c 2.837
_cell_angle_alpha 90.00
_cell_angle_beta 90.00
_cell_angle_gamma 90.00
loop_
_atom_site_label
_atom_site_fract_x
_atom_site_fract_y
_atom_site_fract_z
_atom_site_occupancy
Fe1 0.000 0.500 0.000 1
Re1 0.000 0.000 0.500 1
Si1 0.500 0.500 0.500 1
# * formation energy (no corrections): -0.007 eV per atom
# * DFT total energy: -8.706 eV per atom
# * crystal system: tetragonal

Entry 12:
# Fe2ReSi | the Alexandria database | PBE-GGA | relaxed
data_Fe2ReSi
_chemical_formula_sum 'Fe4 Re2 Si2'
_symmetry_space_group_name_H-M 'I m m 2'
_symmetry_Int_Tables_number 44
_cell_length_a 2.873
_cell_length_b 4.107
_cell_length_c 8.149
_cell_angle_alpha 90.00
_cell_angle_beta 90.00
_cell_angle_gamma 90.00
loop_
_symmetry_equiv_pos_as_xyz
'x,y,z'
'-x,-y,z'
'-x,y,z'
'x,-y,z'
'x+1/2,y+1/2,z+1/2'
'-x+1/2,-y+1/2,z+1/2'
'-x+1/2,y+1/2,z+1/2'
'x+1/2,-y+1/2,z+1/2'
loop_
_atom_site_label
_atom_site_fract_x
_atom_site_fract_y
_atom_site_fract_z
_atom_site_occupancy
Fe1 0.000 0.000 0.000 1
Fe2 0.000 0.500 0.238 1
Re1 0.000 0.500 0.762 1
Si1 0.000 0.000 0.513 1
# * formation energy (no corrections): -0.117 eV per atom
# * DFT total energy: -8.816 eV per atom
# * crystal system: orthorhombic

Entry 13:
# SmFeReSi2 | the Alexandria database | PBE-GGA | relaxed
data_SmFeReSi2
_chemical_formula_sum 'Sm2 Fe2 Re2 Si4'
_symmetry_space_group_name_H-M 'I -4 m 2'
_symmetry_Int_Tables_number 119
_symmetry_space_group_name_Hall 'I -4 -2'
_cell_length_a 4.028
_cell_length_b 4.028
_cell_length_c 10.366
_cell_angle_alpha 90.00
_cell_angle_beta 90.00
_cell_angle_gamma 90.00
loop_
_atom_site_label
_atom_site_fract_x
_atom_site_fract_y
_atom_site_fract_z
_atom_site_occupancy
Sm1 0.000 0.000 0.000 1
Fe1 0.000 0.500 0.250 1
Re1 0.000 0.500 0.750 1
Si1 0.000 0.000 0.377 1
# * formation energy (no corrections): -0.533 eV per atom
# * DFT total energy: -7.828 eV per atom
# * crystal system: tetragonal

Entry 14:
# TaFeReSi | the Alexandria database | PBE-GGA | relaxed
data_TaFeReSi
_chemical_formula_sum 'Ta4 Fe4 Re4 Si4'
_symmetry_space_group_name_H-M 'F -4 3 m'
_symmetry_Int_Tables_number 216
_symmetry_space_group_name_Hall 'F -4 2 3'
_cell_length_a 6.053
_cell_length_b 6.053
_cell_length_c 6.053
_cell_angle_alpha 90.00
_cell_angle_beta 90.00
_cell_angle_gamma 90.00
loop_
_atom_site_label
_atom_site_fract_x
_atom_site_fract_y
_atom_site_fract_z
_atom_site_occupancy
Ta1 0.000 0.000 0.000 1
Fe1 0.250 0.250 0.250 1
Re1 0.250 0.250 0.750 1
Si1 0.000 0.000 0.500 1
# * formation energy (no corrections): -0.289 eV per atom
# * DFT total energy: -9.835 eV per atom
# * crystal system: cubic